Here is a relaxed KTePb2 crystal from Alexandria via LeMat-Bulk. Energies are from PBE. Values from VASP.

Summary:
density: 7162 kg/m³
total moment: 0.0 μB per formula unit
formation energy without anion corrections: -0.90 eV/f.u.
SG: C2/m (12)
DOS at the Fermi energy: 3.156 states/eV per cell
VASP energy: -3.14 eV/atom

Geometry as Quantum ESPRESSO input:
```
&SYSTEM
  ibrav = 0, nat = 8, ntyp = 3
/
ATOMIC_SPECIES
K 39.10 K.upf
Te 127.60 Te.upf
Pb 207.20 Pb.upf
ATOMIC_POSITIONS crystal
K 0.0000 0.0000 0.0000
K 0.5000 0.5000 0.0000
Te 0.0000 0.5000 0.0000
Te 0.5000 0.0000 0.0000
Pb 0.2500 0.2500 0.5000
Pb 0.2500 0.7500 0.5000
Pb 0.7500 0.2500 0.5000
Pb 0.7500 0.7500 0.5000
CELL_PARAMETERS angstrom
6.8770 0.0000 0.0000
0.0000 12.3287 0.0000
-2.0718 0.0000 3.1781
```

Here is a relaxed K2TePb2 crystal from Alexandria via LeMat-Bulk. Energies are from PBE. Values from VASP.

Summary:
density: 5234 kg/m³
total moment: 0.0 μB per formula unit
formation energy without anion corrections: -1.23 eV/f.u.
SG: P4/mbm (127)
DOS at the Fermi energy: 6.432 states/eV per cell
VASP energy: -2.80 eV/atom
polymorph energy (0 for the lowest one): 0 meV per atom

Geometry as Quantum ESPRESSO input:
```
&SYSTEM
  ibrav = 0, nat = 10, ntyp = 3
/
ATOMIC_SPECIES
K 39.10 K.upf
Te 127.60 Te.upf
Pb 207.20 Pb.upf
ATOMIC_POSITIONS crystal
K 0.1818 0.3182 0.0000
K 0.3182 0.8182 0.0000
K 0.6818 0.1818 0.0000
K 0.8182 0.6818 0.0000
Te 0.0000 0.0000 0.5000
Te 0.5000 0.5000 0.5000
Pb 0.1272 0.6272 0.5000
Pb 0.3728 0.1272 0.5000
Pb 0.6272 0.8728 0.5000
Pb 0.8728 0.3728 0.5000
CELL_PARAMETERS angstrom
8.3645 0.0000 0.0000
0.0000 8.3645 0.0000
0.0000 0.0000 5.6249
```